Compound: Mn2SeCl
Source: the Alexandria database
Functional: PBE
Structure: relaxed

Cell and atoms, written as POSCAR:
```
Mn2SeCl
1.0
-3.143 3.953 0.621
-1.758 -2.036 4.319
4.341 2.002 -1.742
Mn Se Cl
2 1 1
direct
0.499 0.499 0.000
0.001 0.001 0.000
0.250 0.750 0.500
0.750 0.250 0.500
```

Its symmetry is Immm, No. 71. Its formation energy without anion corrections is -0.07 eV/atom. The calculation puts the spin magnetization at 8.88 μB per formula unit.